1.
Compound: Tm3ZnAu
Source: Alexandria
Functional: PBE-GGA
Structure: optimized geometry

a b c (Å): 4.9979 4.9964 9.9230
angles (deg): 90.00 75.41 90.00
Last column: nearest neighbours and their distance in Å.
Sites, in units of the cell vectors:
Tm: 0.7562 0.2500 0.1359  2 Zn 3.01, 2 Au 3.07
Tm: 0.2587 0.7500 0.1309  2 Zn 3.04, 2 Au 3.10
Tm: 0.3896 0.2500 0.8691  2 Zn 3.04, 2 Au 3.10
Tm: 0.8921 0.7500 0.8641  2 Zn 3.01, 2 Au 3.07
Tm: 0.0749 0.7500 0.4985  4 Au 3.02-3.04, 4 Zn 3.08-3.10
Tm: 0.5734 0.2500 0.5015  4 Au 3.02-3.04, 4 Zn 3.08-3.10
Au: 0.6636 0.7500 0.3212  8 Tm 3.02-3.10
Au: 0.9848 0.2500 0.6788  8 Tm 3.02-3.10
Zn: 0.4796 0.7500 0.6891  8 Tm 3.01-3.10
Zn: 0.1687 0.2500 0.3109  8 Tm 3.01-3.10

Computed properties:
**ΔH_f (0 K)**: -0.475 eV/atom
**Raw total energy**: -4.07 eV/atom
**Calculated density**: 10.65 Mg/m³
**N(E_F)**: 10.16 states/eV per cell
**Space-group type**: Cmcm

---

2.
Compound: TmZn6Au6
Source: Alexandria
Functional: PBE-GGA
Structure: optimized geometry

a b c (Å): 5.2592 7.0261 7.0261
angles (deg): 80.32 68.02 68.02
Last column: nearest neighbours and their distance in Å.
Sites, in units of the cell vectors:
Zn: 0.0000 0.0000 0.5000  4 Zn 2.63-2.69, 6 Au 2.72-2.79
Zn: 0.5000 0.7555 0.2445  4 Zn 2.69, 6 Au 2.73-2.78
Zn: 0.0000 0.5000 0.0000  4 Zn 2.63-2.69, 6 Au 2.72-2.79
Zn: 0.5000 0.5000 0.0000  4 Zn 2.63-2.69, 6 Au 2.72-2.79
Zn: 0.5000 0.2445 0.7555  4 Zn 2.69, 6 Au 2.73-2.78
Zn: 0.5000 0.0000 0.5000  4 Zn 2.63-2.69, 6 Au 2.72-2.79
Au: 0.0000 0.3329 0.6671  6 Zn 2.75-2.79, 1 Tm 3.02, 1 Au 3.03
Au: 0.3300 0.1700 0.1700  6 Zn 2.72-2.73, 2 Au 3.05
Au: 0.3353 0.6647 0.6647  6 Zn 2.74-2.78, 2 Au 3.05
Au: 0.6647 0.3353 0.3353  6 Zn 2.74-2.78, 2 Au 3.05
Au: 0.0000 0.6671 0.3329  6 Zn 2.75-2.79, 1 Tm 3.02, 1 Au 3.03
Au: 0.6700 0.8300 0.8300  6 Zn 2.72-2.73, 2 Au 3.05
Tm: 0.0000 0.0000 0.0000  8 Au 3.02-3.14

Computed properties:
**ΔH_f (0 K)**: -0.353 eV/atom
**Raw total energy**: -2.80 eV/atom
**Calculated density**: 12.97 Mg/m³
**N(E_F)**: 3.66 states/eV per cell
**Space-group type**: Immm

---

3.
Compound: Tm4ZnAu2
Source: Alexandria
Functional: PBE-GGA
Structure: optimized geometry

a b c (Å): 4.9570 4.9570 8.5693
angles (deg): 73.19 73.19 60.00
Last column: nearest neighbours and their distance in Å.
Sites, in units of the cell vectors:
Tm: 0.3769 0.3769 0.8692  4 Au 3.03-3.10, 3 Zn 3.05
Tm: 0.6231 0.6231 0.1308  4 Au 3.03-3.10, 3 Zn 3.05
Tm: 0.1260 0.1260 0.6220  4 Au 2.98-3.04, 1 Zn 3.05
Tm: 0.8740 0.8740 0.3780  4 Au 2.98-3.04, 1 Zn 3.05
Au: 0.7509 0.7509 0.7473  8 Tm 2.98-3.10
Au: 0.2491 0.2491 0.2527  8 Tm 2.98-3.10
Zn: 0.0000 0.0000 0.0000  8 Tm 3.05

Computed properties:
**ΔH_f (0 K)**: -0.567 eV/atom
**Raw total energy**: -4.24 eV/atom
**Calculated density**: 10.97 Mg/m³
**N(E_F)**: 5.16 states/eV per cell
**Space-group type**: R-3m

---

4.
Compound: TmZn2Au8
Source: Alexandria
Functional: PBE-GGA
Structure: optimized geometry

a b c (Å): 4.2074 6.8375 7.6322
angles (deg): 109.28 106.00 90.00
Last column: nearest neighbours and their distance in Å.
Sites, in units of the cell vectors:
Au: 0.6064 0.4655 0.2128  3 Zn 2.73-2.92, 5 Au 2.90-3.00, 1 Tm 3.03
Au: 0.9567 0.2730 0.9135  1 Zn 2.81, 8 Au 2.90-3.10, 2 Tm 3.02
Au: 0.1480 0.2164 0.2959  3 Zn 2.78-2.83, 6 Au 2.90-3.08, 2 Tm 3.02
Au: 0.0433 0.7270 0.0865  1 Zn 2.81, 8 Au 2.90-3.10, 2 Tm 3.02
Au: 0.3936 0.5345 0.7872  3 Zn 2.73-2.92, 5 Au 2.90-3.00, 1 Tm 3.03
Au: 0.8520 0.7836 0.7041  3 Zn 2.78-2.83, 6 Au 2.90-3.08, 2 Tm 3.02
Au: 0.3188 0.0812 0.6377  3 Zn 2.76-2.95, 8 Au 2.86-3.08, 1 Tm 2.90
Au: 0.6812 0.9188 0.3623  3 Zn 2.76-2.95, 8 Au 2.86-3.08, 1 Tm 2.90
Zn: 0.7786 0.3428 0.5572  10 Au 2.73-2.95
Zn: 0.2214 0.6572 0.4428  10 Au 2.73-2.95
Tm: 0.5000 0.0000 0.0000  12 Au 2.90-3.03

Computed properties:
**ΔH_f (0 K)**: -0.344 eV/atom
**Raw total energy**: -3.37 eV/atom
**Calculated density**: 15.71 Mg/m³
**N(E_F)**: 2.86 states/eV per cell
**Space-group type**: C2/m

---

5.
Compound: TmZnAu2
Source: Alexandria
Functional: PBE-GGA
Structure: optimized geometry

a b c (Å): 3.4833 3.4833 6.4426
angles (deg): 90.00 90.00 90.00
Last column: nearest neighbours and their distance in Å.
Sites, in units of the cell vectors:
Au: 0.0000 0.0000 0.2337  4 Zn 2.89, 4 Tm 3.00, 1 Au 3.01
Au: 0.0000 0.0000 0.7663  4 Zn 2.89, 4 Tm 3.00, 1 Au 3.01
Zn: 0.5000 0.5000 0.0000  8 Au 2.89, 2 Tm 3.22
Tm: 0.5000 0.5000 0.5000  8 Au 3.00, 2 Zn 3.22

Computed properties:
**ΔH_f (0 K)**: -0.584 eV/atom
**Raw total energy**: -3.66 eV/atom
**Calculated density**: 13.35 Mg/m³
**N(E_F)**: 1.48 states/eV per cell
**Space-group type**: P4/mmm

---

6.
Compound: TmZnAu3
Source: Alexandria
Functional: PBE-GGA
Structure: optimized geometry

a b c (Å): 4.3336 8.6448 10.6515
angles (deg): 90.00 90.00 90.00
Last column: nearest neighbours and their distance in Å.
Sites, in units of the cell vectors:
Au: 0.2500 0.9136 0.8374  2 Zn 2.59-2.63
Au: 0.7500 0.4420 0.9106  3 Zn 2.62-2.71, 2 Au 2.78-2.90
Au: 0.2500 0.5580 0.0894  3 Zn 2.62-2.71, 2 Au 2.78-2.90
Au: 0.2500 0.8517 0.1965  2 Zn 2.72, 4 Au 2.78-2.99, 2 Tm 3.04
Au: 0.7500 0.6483 0.6965  2 Zn 2.72, 4 Au 2.78-2.99, 2 Tm 3.04
Au: 0.7500 0.5864 0.3374  2 Zn 2.59-2.63
Au: 0.2500 0.4136 0.6626  2 Zn 2.59-2.63
Au: 0.7500 0.1483 0.8035  2 Zn 2.72, 4 Au 2.78-2.99, 2 Tm 3.04
Au: 0.7500 0.9420 0.5894  3 Zn 2.62-2.71, 2 Au 2.78-2.90
Au: 0.2500 0.3517 0.3035  2 Zn 2.72, 4 Au 2.78-2.99, 2 Tm 3.04
Au: 0.2500 0.0580 0.4106  3 Zn 2.62-2.71, 2 Au 2.78-2.90
Au: 0.7500 0.0864 0.1626  2 Zn 2.59-2.63
Zn: 0.7500 0.3855 0.1522  7 Au 2.59-2.72
Zn: 0.2500 0.6145 0.8478  7 Au 2.59-2.72
Zn: 0.7500 0.8855 0.3478  7 Au 2.59-2.72
Zn: 0.2500 0.1145 0.6522  7 Au 2.59-2.72
Tm: 0.7500 0.8003 0.0010  8 Au 2.95-3.24, 2 Zn 3.15
Tm: 0.7500 0.3003 0.4990  8 Au 2.95-3.24, 2 Zn 3.15
Tm: 0.2500 0.1997 0.9990  8 Au 2.95-3.24, 2 Zn 3.15
Tm: 0.2500 0.6997 0.5010  8 Au 2.95-3.24, 2 Zn 3.15

Computed properties:
**ΔH_f (0 K)**: -0.532 eV/atom
**Raw total energy**: -3.65 eV/atom
**Calculated density**: 13.74 Mg/m³
**N(E_F)**: 7.25 states/eV per cell
**Space-group type**: Pnma

---

7.
Compound: Tm2Zn3Au
Source: Alexandria
Functional: PBE-GGA
Structure: optimized geometry

a b c (Å): 3.4622 4.4344 7.8078
angles (deg): 90.00 90.00 90.00
Last column: nearest neighbours and their distance in Å.
Sites, in units of the cell vectors:
Tm: 0.0000 0.0000 0.4961  4 Au 3.08, 8 Zn 3.14-3.18
Tm: 0.0000 0.5000 0.0048  10 Zn 3.05-3.12, 2 Au 3.12
Au: 0.5000 0.5000 0.3369  3 Zn 2.63-2.65
Zn: 0.5000 0.0000 0.8311  3 Zn 2.53
Zn: 0.5000 0.0000 0.1549  1 Zn 2.53, 2 Au 2.63
Zn: 0.5000 0.5000 0.6762  2 Zn 2.53, 1 Au 2.65

Computed properties:
**ΔH_f (0 K)**: -0.520 eV/atom
**Raw total energy**: -3.19 eV/atom
**Calculated density**: 10.13 Mg/m³
**N(E_F)**: 3.18 states/eV per cell
**Space-group type**: Pmm2

---

8.
Compound: TmZrZnAu
Source: Alexandria
Functional: PBE-GGA
Structure: optimized geometry

a b c (Å): 4.9078 4.9078 4.9078
angles (deg): 60.00 60.00 60.00
Last column: nearest neighbours and their distance in Å.
Sites, in units of the cell vectors:
Au: 0.5000 0.5000 0.5000  4 Tm 3.01, 4 Zr 3.01
Zn: 0.0000 0.0000 0.0000  4 Zr 3.01, 4 Tm 3.01
Tm: 0.7500 0.7500 0.7500  4 Zn 3.01, 4 Au 3.01
Zr: 0.2500 0.2500 0.2500  4 Au 3.01, 4 Zn 3.01

Computed properties:
**ΔH_f (0 K)**: -0.424 eV/atom
**Raw total energy**: -4.82 eV/atom
**Calculated density**: 10.38 Mg/m³
**N(E_F)**: 3.59 states/eV per cell
**Space-group type**: F-43m

---

9.
Compound: TmZrAu
Source: Alexandria
Functional: PBE-GGA
Structure: optimized geometry

a b c (Å): 3.4004 3.4004 6.4093
angles (deg): 105.38 105.38 90.00
Last column: nearest neighbours and their distance in Å.
Sites, in units of the cell vectors:
Zr: 0.0125 0.0125 0.0251  4 Au 2.99, 4 Tm 3.27
Tm: 0.3257 0.3257 0.6515  4 Au 3.10, 4 Zr 3.27, 4 Tm 3.40
Au: 0.6617 0.6617 0.3234  4 Zr 2.99, 4 Tm 3.10

Computed properties:
**ΔH_f (0 K)**: -0.430 eV/atom
**Raw total energy**: -5.86 eV/atom
**Calculated density**: 11.05 Mg/m³
**N(E_F)**: 4.31 states/eV per cell
**Space-group type**: I4mm

---

10.
Compound: TmZrAu
Source: Alexandria
Functional: PBE-GGA
Structure: optimized geometry

a b c (Å): 4.3619 4.3619 7.4575
angles (deg): 90.00 90.00 90.00
Last column: nearest neighbours and their distance in Å.
Sites, in units of the cell vectors:
Tm: 0.0000 0.5000 0.8560  1 Au 2.81
Tm: 0.5000 0.0000 0.1440  1 Au 2.81
Au: 0.5000 0.0000 0.7670  1 Tm 2.81, 4 Zr 2.95
Au: 0.0000 0.5000 0.2330  1 Tm 2.81, 4 Zr 2.95
Zr: 0.5000 0.5000 0.5000  4 Au 2.95, 4 Zr 3.08
Zr: 0.0000 0.0000 0.5000  4 Au 2.95, 4 Zr 3.08

Computed properties:
**ΔH_f (0 K)**: -0.477 eV/atom
**Raw total energy**: -5.91 eV/atom
**Calculated density**: 10.70 Mg/m³
**N(E_F)**: 7.75 states/eV per cell
**Space-group type**: P4/nmm

---

11.
Compound: TmZrAu6
Source: Alexandria
Functional: PBE-GGA
Structure: optimized geometry

a b c (Å): 4.4058 5.0573 8.0178
angles (deg): 80.93 74.05 64.18
Last column: nearest neighbours and their distance in Å.
Sites, in units of the cell vectors:
Tm: 0.0000 0.0000 0.0000  12 Au 2.97-3.14
Zr: 0.0000 0.5000 0.5000  12 Au 2.94-3.08
Au: 0.4958 0.2605 0.7479  8 Au 2.94-3.01, 2 Zr 3.08, 2 Tm 3.14
Au: 0.5042 0.7395 0.2521  8 Au 2.94-3.01, 2 Zr 3.08, 2 Tm 3.14
Au: 0.2504 0.8788 0.6204  8 Au 2.94-3.10, 3 Zr 2.94-2.97, 1 Tm 3.00
Au: 0.2497 0.3702 0.1303  1 Zr 2.94, 8 Au 2.95-3.18, 3 Tm 2.97-3.00
Au: 0.7503 0.6298 0.8697  1 Zr 2.94, 8 Au 2.95-3.18, 3 Tm 2.97-3.00
Au: 0.7496 0.1212 0.3796  8 Au 2.94-3.10, 3 Zr 2.94-2.97, 1 Tm 3.00

Computed properties:
**ΔH_f (0 K)**: -0.560 eV/atom
**Raw total energy**: -4.65 eV/atom
**Calculated density**: 15.50 Mg/m³
**N(E_F)**: 3.88 states/eV per cell
**Space-group type**: C2/m

---

12.
Compound: TmZrAu2
Source: Alexandria
Functional: PBE-GGA
Structure: optimized geometry

a b c (Å): 3.4132 3.4132 7.3001
angles (deg): 90.00 90.00 90.00
Last column: nearest neighbours and their distance in Å.
Sites, in units of the cell vectors:
Au: 0.0000 0.0000 0.7554  4 Zr 3.00, 4 Tm 3.05
Au: 0.0000 0.0000 0.2446  4 Zr 3.00, 4 Tm 3.05
Zr: 0.5000 0.5000 0.0000  8 Au 3.00
Tm: 0.5000 0.5000 0.5000  8 Au 3.05, 4 Tm 3.41

Computed properties:
**ΔH_f (0 K)**: -0.649 eV/atom
**Raw total energy**: -5.54 eV/atom
**Calculated density**: 12.77 Mg/m³
**N(E_F)**: 3.86 states/eV per cell
**Space-group type**: P4/mmm